[1]
Material: PAu2Se
Method: DFT, PBE-GGA
State: relaxed

abc: 2.814 2.814 9.495
angles: 90.00 90.00 90.00
Positions (direct):
P  0.000  0.000  0.000
Au  0.500  0.500  0.222
Au  0.500  0.500  0.778
Se  0.000  0.000  0.500

Computed properties:
Distance to the lowest polymorph of the same formula: 295 meV/atom
Energy relative to the elements, uncorrected: 0.44 eV/atom
Total moment: 0.0 μB/f.u.

---

[2]
Material: PAuSe2
Method: DFT, PBE-GGA
State: relaxed

abc: 3.408 3.793 12.855
angles: 90.00 90.00 90.00
Positions (direct):
P  0.000  0.000  0.000
P  0.500  0.500  0.500
Au  0.000  0.500  0.739
Au  0.500  0.000  0.239
Se  0.000  0.000  0.593
Se  0.000  0.500  0.361
Se  0.500  0.000  0.861
Se  0.500  0.500  0.093

Computed properties:
Energy relative to the elements, uncorrected: 0.34 eV/atom
Total moment: 0.0 μB/f.u.

---

[3]
Material: PAu3Se2
Method: DFT, PBE-GGA
State: relaxed

abc: 5.661 5.661 5.572
angles: 90.00 90.00 120.00
Positions (direct):
P  0.000  0.000  0.000
Au  0.000  0.500  0.500
Au  0.500  0.000  0.500
Au  0.500  0.500  0.500
Se  0.333  0.667  0.152
Se  0.667  0.333  0.848

Computed properties:
Energy relative to the elements, uncorrected: 0.54 eV/atom
Total moment: 2.0 μB/f.u.

---

[4]
Material: P2AuSe
Method: DFT, PBE-GGA
State: relaxed

abc: 3.584 3.584 19.162
angles: 90.00 90.00 120.00
Positions (direct):
P  0.000  0.000  0.000
P  0.000  0.000  0.268
P  0.333  0.667  0.667
P  0.333  0.667  0.934
P  0.667  0.333  0.333
P  0.667  0.333  0.601
Au  0.000  0.000  0.517
Au  0.333  0.667  0.184
Au  0.667  0.333  0.851
Se  0.000  0.000  0.750
Se  0.333  0.667  0.417
Se  0.667  0.333  0.084

Computed properties:
Energy relative to the elements, uncorrected: 0.15 eV/atom
Total moment: 0.0 μB/f.u.

---

[5]
Material: P2AuSe
Method: DFT, PBE-GGA
State: relaxed

abc: 3.187 4.497 4.859
angles: 90.00 90.00 90.00
Positions (direct):
P  0.000  0.000  0.000
P  0.500  0.000  0.500
Au  0.000  0.500  0.500
Se  0.500  0.500  0.000

Computed properties:
Energy relative to the elements, uncorrected: 0.70 eV/atom
Total moment: 0.0 μB/f.u.

---

[6]
Material: PAu2Se
Method: DFT, PBE-GGA
State: relaxed

abc: 2.830 3.711 7.436
angles: 90.00 90.00 90.00
Positions (direct):
P  0.000  0.000  0.000
Au  0.000  0.500  0.231
Au  0.000  0.500  0.769
Se  0.000  0.000  0.500

Computed properties:
Distance to the lowest polymorph of the same formula: 13 meV/atom
Energy relative to the elements, uncorrected: 0.15 eV/atom
Total moment: 0.0 μB/f.u.

---

[7]
Material: P2Au2Se
Method: DFT, PBE-GGA
State: relaxed

abc: 7.369 7.369 3.565
angles: 90.00 90.00 90.00
Positions (direct):
P  0.208  0.292  0.000
P  0.292  0.792  0.000
P  0.708  0.208  0.000
P  0.792  0.708  0.000
Au  0.130  0.630  0.500
Au  0.370  0.130  0.500
Au  0.630  0.870  0.500
Au  0.870  0.370  0.500
Se  0.000  0.000  0.000
Se  0.500  0.500  0.000

Computed properties:
Distance to the lowest polymorph of the same formula: 0 meV/atom
Energy relative to the elements, uncorrected: 0.41 eV/atom
Total moment: 0.0 μB/f.u.

---

[8]
Material: PAu2Se
Method: DFT, PBE-GGA
State: relaxed

abc: 5.450 10.400 2.701
angles: 90.00 90.00 90.00
Positions (direct):
P  0.000  0.000  0.000
P  0.500  0.500  0.000
Au  0.250  0.250  0.500
Au  0.250  0.750  0.500
Au  0.750  0.250  0.500
Au  0.750  0.750  0.500
Se  0.000  0.500  0.000
Se  0.500  0.000  0.000

Computed properties:
Distance to the lowest polymorph of the same formula: 334 meV/atom
Energy relative to the elements, uncorrected: 0.48 eV/atom
Total moment: 0.0 μB/f.u.

---

[9]
Material: PAuSe
Method: DFT, PBE-GGA
State: relaxed

abc: 3.737 3.737 4.720
angles: 90.00 90.00 120.00
Positions (direct):
P  0.000  0.000  0.000
Au  0.667  0.333  0.716
Se  0.333  0.667  0.361

Computed properties:
Energy relative to the elements, uncorrected: 0.15 eV/atom
Total moment: 0.0 μB/f.u.

---

[10]
Material: P2AuSe6
Method: DFT, PBE-GGA
State: relaxed

abc: 9.455 9.455 6.001
angles: 108.31 108.31 88.03
Positions (direct):
P  0.138  0.306  0.284
P  0.306  0.138  0.784
P  0.694  0.862  0.216
P  0.862  0.694  0.716
Au  0.238  0.762  0.750
Au  0.762  0.238  0.250
Se  0.077  0.212  0.555
Se  0.086  0.637  0.917
Se  0.212  0.077  0.055
Se  0.308  0.488  0.427
Se  0.363  0.914  0.583
Se  0.488  0.308  0.927
Se  0.512  0.692  0.073
Se  0.637  0.086  0.417
Se  0.692  0.512  0.573
Se  0.788  0.923  0.945
Se  0.914  0.363  0.083
Se  0.923  0.788  0.445

Computed properties:
Distance to the lowest polymorph of the same formula: 0 meV/atom
Energy relative to the elements, uncorrected: 0.04 eV/atom
Total moment: 0.0 μB/f.u.

---

[11]
Material: P2AuSe
Method: DFT, PBE-GGA
State: relaxed

abc: 3.098 3.817 13.199
angles: 90.00 90.00 90.00
Positions (direct):
P  0.000  0.000  0.000
P  0.000  0.500  0.384
P  0.500  0.000  0.884
P  0.500  0.500  0.500
Au  0.000  0.000  0.603
Au  0.500  0.500  0.103
Se  0.000  0.500  0.746
Se  0.500  0.000  0.246

Computed properties:
Energy relative to the elements, uncorrected: 0.33 eV/atom
Total moment: 0.0 μB/f.u.

---

[12]
Material: P2AuSe
Method: DFT, PBE-GGA
State: relaxed

abc: 2.922 2.922 31.131
angles: 90.00 90.00 120.00
Positions (direct):
P  0.000  0.000  0.234
P  0.000  0.000  0.766
P  0.333  0.667  0.433
P  0.333  0.667  0.900
P  0.667  0.333  0.100
P  0.667  0.333  0.567
Au  0.000  0.000  0.500
Au  0.333  0.667  0.167
Au  0.667  0.333  0.833
Se  0.000  0.000  0.000
Se  0.333  0.667  0.667
Se  0.667  0.333  0.333

Computed properties:
Energy relative to the elements, uncorrected: 0.68 eV/atom
Total moment: 0.0 μB/f.u.

---

Question: Which formula does entry 5 have?
Answer: P2AuSe

---

Question: energy relative to the elements, uncorrected of number 5 (P2AuSe)?
Answer: 0.70 eV/atom

---

Question: Among the records above, which one has the lowest energy relative to the elements, uncorrected?
Answer: P2AuSe6

---

Please write out number 1 again, unchanged.
Material: PAu2Se
Method: DFT, PBE-GGA
State: relaxed

abc: 2.814 2.814 9.495
angles: 90.00 90.00 90.00
Positions (direct):
P  0.000  0.000  0.000
Au  0.500  0.500  0.222
Au  0.500  0.500  0.778
Se  0.000  0.000  0.500

Computed properties:
Distance to the lowest polymorph of the same formula: 295 meV/atom
Energy relative to the elements, uncorrected: 0.44 eV/atom
Total moment: 0.0 μB/f.u.